(1)
{"formula": "Si5Sb3Au12", "functional": "PBE", "state": "optimized geometry", "cell": [[-7.6382, 7.6382, 7.6382], [7.6382, -7.6382, 7.6382], [7.6382, 7.6382, -7.6382]], "species": ["Si", "Si", "Si", "Si", "Si", "Si", "Si", "Si", "Si", "Si", "Si", "Si", "Si", "Si", "Si", "Si", "Si", "Si", "Si", "Si", "Sb", "Sb", "Sb", "Sb", "Sb", "Sb", "Sb", "Sb", "Sb", "Sb", "Sb", "Sb", "Au", "Au", "Au", "Au", "Au", "Au", "Au", "Au", "Au", "Au", "Au", "Au", "Au", "Au", "Au", "Au", "Au", "Au", "Au", "Au", "Au", "Au", "Au", "Au", "Au", "Au", "Au", "Au", "Au", "Au", "Au", "Au", "Au", "Au", "Au", "Au", "Au", "Au", "Au", "Au", "Au", "Au", "Au", "Au", "Au", "Au", "Au", "Au"], "fractional_positions": [[0.0000, 0.0000, 0.0000], [0.0000, 0.0000, 0.5000], [0.0000, 0.5000, 0.0000], [0.0000, 0.5000, 0.5000], [0.1250, 0.7500, 0.8750], [0.1250, 0.8750, 0.2500], [0.2500, 0.1250, 0.8750], [0.2500, 0.6250, 0.3750], [0.3750, 0.2500, 0.6250], [0.3750, 0.6250, 0.7500], [0.5000, 0.0000, 0.0000], [0.5000, 0.0000, 0.5000], [0.5000, 0.5000, 0.0000], [0.5000, 0.5000, 0.5000], [0.6250, 0.3750, 0.2500], [0.6250, 0.7500, 0.3750], [0.7500, 0.3750, 0.6250], [0.7500, 0.8750, 0.1250], [0.8750, 0.1250, 0.7500], [0.8750, 0.2500, 0.1250], [0.1250, 0.2500, 0.3750], [0.1250, 0.3750, 0.7500], [0.2500, 0.3750, 0.1250], [0.2500, 0.8750, 0.6250], [0.3750, 0.1250, 0.2500], [0.3750, 0.7500, 0.1250], [0.6250, 0.2500, 0.8750], [0.6250, 0.8750, 0.7500], [0.7500, 0.1250, 0.3750], [0.7500, 0.6250, 0.8750], [0.8750, 0.6250, 0.2500], [0.8750, 0.7500, 0.6250], [0.0410, 0.2138, 0.1200], [0.0410, 0.3272, 0.9210], [0.0790, 0.6200, 0.4062], [0.0790, 0.9590, 0.6728], [0.0938, 0.7138, 0.6728], [0.0938, 0.8800, 0.4210], [0.1200, 0.0410, 0.2138], [0.1200, 0.5790, 0.9062], [0.1728, 0.2138, 0.5938], [0.1728, 0.4590, 0.5790], [0.2138, 0.1200, 0.0410], [0.2138, 0.5938, 0.1728], [0.2862, 0.3272, 0.9062], [0.2862, 0.4590, 0.3800], [0.3272, 0.9062, 0.2862], [0.3272, 0.9210, 0.0410], [0.3800, 0.2862, 0.4590], [0.3800, 0.5938, 0.9210], [0.4062, 0.0790, 0.6200], [0.4062, 0.8272, 0.7862], [0.4210, 0.0938, 0.8800], [0.4210, 0.8272, 0.5410], [0.4590, 0.3800, 0.2862], [0.4590, 0.5790, 0.1728], [0.5410, 0.4210, 0.8272], [0.5410, 0.6200, 0.7138], [0.5790, 0.1728, 0.4590], [0.5790, 0.9062, 0.1200], [0.5938, 0.1728, 0.2138], [0.5938, 0.9210, 0.3800], [0.6200, 0.4062, 0.0790], [0.6200, 0.7138, 0.5410], [0.6728, 0.0790, 0.9590], [0.6728, 0.0938, 0.7138], [0.7138, 0.5410, 0.6200], [0.7138, 0.6728, 0.0938], [0.7862, 0.4062, 0.8272], [0.7862, 0.8800, 0.9590], [0.8272, 0.5410, 0.4210], [0.8272, 0.7862, 0.4062], [0.8800, 0.4210, 0.0938], [0.8800, 0.9590, 0.7862], [0.9062, 0.1200, 0.5790], [0.9062, 0.2862, 0.3272], [0.9210, 0.0410, 0.3272], [0.9210, 0.3800, 0.5938], [0.9590, 0.6728, 0.0790], [0.9590, 0.7862, 0.8800]], "dos_ef_per_ev_fu": 12.2, "formation_energy_uncorrected_ev_per_atom": 0.12, "sg": "Ia-3d, No. 230"}


(2)
{"formula": "KSr2YPt", "functional": "PBE", "state": "optimized geometry", "cell": [[6.1589, 0.0000, 0.0000], [0.0000, 6.1589, 0.0000], [0.0000, 0.0000, 5.5256]], "species": ["K", "Sr", "Sr", "Y", "Pt"], "fractional_positions": [[0.0000, 0.0000, 0.0000], [0.0000, 0.5000, 0.5000], [0.5000, 0.0000, 0.5000], [0.5000, 0.5000, 0.0000], [0.5000, 0.5000, 0.5000]], "dos_ef_per_ev_fu": 3.6, "delta_e_f_mev_per_atom": -338, "sg": "P4/mmm, No. 123"}


(3)
{"formula": "LiAlC", "functional": "PBE", "state": "optimized geometry", "cell": [[5.3738, 0.0000, 0.0000], [0.0000, 3.1966, 0.0000], [0.0000, 0.0000, 6.4560]], "species": ["Li", "Li", "Li", "Li", "Al", "Al", "Al", "Al", "C", "C", "C", "C"], "fractional_positions": [[0.1261, 0.2500, 0.0614], [0.3739, 0.7500, 0.5614], [0.6261, 0.2500, 0.4386], [0.8739, 0.7500, 0.9386], [0.0373, 0.2500, 0.6674], [0.4627, 0.7500, 0.1674], [0.5373, 0.2500, 0.8326], [0.9627, 0.7500, 0.3326], [0.2250, 0.2500, 0.3781], [0.2750, 0.7500, 0.8781], [0.7250, 0.2500, 0.1219], [0.7750, 0.7500, 0.6219]], "dos_ef_per_ev_fu": 0.1, "delta_e_f_mev_per_atom": 209, "sg": "Pnma, No. 62"}